Compound: LiScCrF6
Source: Alexandria via LeMat-Bulk
Functional: GGA+U
Structure: optimized geometry

Results
Raw total energy, eV/atom: -5.98
Symmetry: P-31c, No. 163
DOS(E_F), states/eV/f.u.: 5.91
Magnetization, μB/cell: 4.00

a b c (Å): 5.2422 5.2422 9.1885
angles (deg): 90.00 90.00 120.00
With the nearest neighbours (Å) after each atom.
Atoms (fractional coordinates):
Li: 0.0000 0.0000 0.0000  6 F 2.13
Li: 0.0000 0.0000 0.5000  6 F 2.13
Sc: 0.3333 0.6667 0.2500  6 F 2.08
Sc: 0.6667 0.3333 0.7500  6 F 2.08
Cr: 0.3333 0.6667 0.7500  6 F 2.04
Cr: 0.6667 0.3333 0.2500  6 F 2.04
F: 0.0050 0.3388 0.6303  1 Cr 2.04, 1 Sc 2.08, 1 Li 2.13
F: 0.0050 0.6662 0.8697  1 Cr 2.04, 1 Sc 2.08, 1 Li 2.13
F: 0.3338 0.3388 0.8697  1 Cr 2.04, 1 Sc 2.08, 1 Li 2.13
F: 0.3338 0.9950 0.6303  1 Cr 2.04, 1 Sc 2.08, 1 Li 2.13
F: 0.3388 0.0050 0.1303  1 Cr 2.04, 1 Sc 2.08, 1 Li 2.13
F: 0.3388 0.3338 0.3697  1 Cr 2.04, 1 Sc 2.08, 1 Li 2.13
F: 0.6612 0.6662 0.6303  1 Cr 2.04, 1 Sc 2.08, 1 Li 2.13
F: 0.6612 0.9950 0.8697  1 Cr 2.04, 1 Sc 2.08, 1 Li 2.13
F: 0.6662 0.0050 0.3697  1 Cr 2.04, 1 Sc 2.08, 1 Li 2.13
F: 0.6662 0.6612 0.1303  1 Cr 2.04, 1 Sc 2.08, 1 Li 2.13
F: 0.9950 0.3338 0.1303  1 Cr 2.04, 1 Sc 2.08, 1 Li 2.13
F: 0.9950 0.6612 0.3697  1 Cr 2.04, 1 Sc 2.08, 1 Li 2.13